DFT (GGA-PBE) results for a geometry-optimized Pm2SmAl2 structure.

Cell: 4.953 5.847 5.847 Å, 72.14 64.94 64.94°
Sites, in units of the cell vectors:
Pm (0.802, 0.698, 0.698)
Pm (0.198, 0.302, 0.302)
Sm (0.000, 0.000, 0.000)
Al (0.500, 0.694, 0.306)
Al (0.500, 0.306, 0.694)

Values from the calculation:
* polymorph energy (0 for the lowest one): 0.00 eV per formula unit
* symmetry: Immm, No. 71
* formation energy from the elements: -0.31 eV per atom